DFT (PBE) results for AcTb2Nd6Er after structural relaxation.

POSCAR file:
```
AcTb2Nd6Er
1.0
9.272 -2.091 -2.170
0.996 8.793 -2.093
0.996 -2.418 8.709
Nd Er Tb Ac
12 2 4 2
direct
0.554 0.755 0.127
0.054 0.127 0.755
0.446 0.245 0.873
0.687 0.009 0.558
0.117 0.711 0.493
0.946 0.873 0.245
0.813 0.442 0.991
0.383 0.507 0.289
0.187 0.558 0.009
0.313 0.991 0.442
0.883 0.289 0.507
0.617 0.493 0.711
0.750 0.587 0.413
0.250 0.413 0.587
0.953 0.684 0.795
0.547 0.205 0.316
0.047 0.316 0.205
0.453 0.795 0.684
0.250 0.974 0.026
0.750 0.026 0.974
```

Energy of formation from the pure elements (kJ/mol of atoms): 11.4
Total DFT energy (no corrections) (eV per atom): -4.54
M_tot (μB/f.u.): 0.0
Volume (Å³/f.u.): 355.0
D(E_F) (states/eV per cell): 28.40